# NaGeSbS4 | Alexandria via LeMat-Bulk | PBE-GGA | optimized geometry
data_NaGeSbS4
_chemical_formula_sum 'Na4 Ge4 Sb4 S16'
_cell_length_a 7.442
_cell_length_b 11.252
_cell_length_c 8.842
_cell_angle_alpha 90.00
_cell_angle_beta 90.00
_cell_angle_gamma 90.00
_symmetry_space_group_name_H-M 'C m c m'
_symmetry_Int_Tables_number 63
_symmetry_space_group_name_Hall '-C 2c 2'
loop_
_atom_site_label
_atom_site_type_symbol
_atom_site_fract_x
_atom_site_fract_y
_atom_site_fract_z
Na1 Na 0.000 0.000 0.000
Ge1 Ge 0.000 0.373 0.250
Sb1 Sb 0.000 0.328 0.750
S1 S 0.000 0.262 0.047
S2 S 0.228 0.490 0.750
# Volume (Å³/cell): 740.4
# Formation energy (no corrections) (meV/atom): -460



# Na2ScGeS4 | Alexandria via LeMat-Bulk | PBE-GGA | optimized geometry
data_Na2ScGeS4
_chemical_formula_sum 'Na4 Sc2 Ge2 S8'
_cell_length_a 7.300
_cell_length_b 7.300
_cell_length_c 6.637
_cell_angle_alpha 90.00
_cell_angle_beta 90.00
_cell_angle_gamma 90.00
_symmetry_space_group_name_H-M 'I -4 2 m'
_symmetry_Int_Tables_number 121
_symmetry_space_group_name_Hall 'I -4 2'
loop_
_atom_site_label
_atom_site_type_symbol
_atom_site_fract_x
_atom_site_fract_y
_atom_site_fract_z
Na1 Na 0.000 0.500 0.000
Sc1 Sc 0.000 0.000 0.000
Ge1 Ge 0.000 0.000 0.500
S1 S 0.172 0.172 0.261
# Volume (Å³/cell): 353.7
# N(E_F) (states/eV per atom): 0.47
# Formation energy (no corrections) (meV/atom): -1003



# NaScGeS4 | Alexandria via LeMat-Bulk | PBE-GGA | optimized geometry
data_NaScGeS4
_chemical_formula_sum 'Na4 Sc4 Ge4 S16'
_cell_length_a 7.825
_cell_length_b 11.654
_cell_length_c 7.772
_cell_angle_alpha 90.00
_cell_angle_beta 90.00
_cell_angle_gamma 90.00
_symmetry_space_group_name_H-M 'C m c m'
_symmetry_Int_Tables_number 63
_symmetry_space_group_name_Hall '-C 2c 2'
loop_
_atom_site_label
_atom_site_type_symbol
_atom_site_fract_x
_atom_site_fract_y
_atom_site_fract_z
Na1 Na 0.000 0.000 0.000
Sc1 Sc 0.000 0.365 0.250
Ge1 Ge 0.000 0.363 0.750
S1 S 0.000 0.250 0.519
S2 S 0.222 0.487 0.750
# Volume (Å³/cell): 708.8
# N(E_F) (states/eV per atom): 0.00
# Formation energy (no corrections) (meV/atom): -1006



# Na2Sc2GeS6 | Alexandria via LeMat-Bulk | PBE-GGA | optimized geometry
data_Na2Sc2GeS6
_chemical_formula_sum 'Na4 Sc4 Ge2 S12'
_cell_length_a 6.384
_cell_length_b 11.057
_cell_length_c 7.099
_cell_angle_alpha 90.00
_cell_angle_beta 107.19
_cell_angle_gamma 90.00
_symmetry_space_group_name_H-M 'C 1 2/m 1'
_symmetry_Int_Tables_number 12
loop_
_symmetry_equiv_pos_as_xyz
'x,y,z'
'-x,-y,-z'
'-x,y,-z'
'x,-y,z'
'x+1/2,y+1/2,z'
'-x+1/2,-y+1/2,-z'
'-x+1/2,y+1/2,-z'
'x+1/2,-y+1/2,z'
loop_
_atom_site_label
_atom_site_type_symbol
_atom_site_fract_x
_atom_site_fract_y
_atom_site_fract_z
Na1 Na 0.000 0.168 0.000
Sc1 Sc 0.000 0.331 0.500
Ge1 Ge 0.000 0.000 0.500
S1 S 0.230 0.159 0.708
S2 S 0.242 0.000 0.298
# Volume (Å³/cell): 478.7
# Formation energy (no corrections) (meV/atom): -1279



# Na4Sc3GeS8 | Alexandria via LeMat-Bulk | PBE-GGA | optimized geometry
data_Na4Sc3GeS8
_chemical_formula_sum 'Na12 Sc9 Ge3 S24'
_cell_length_a 7.5413
_cell_length_b 7.5413
_cell_length_c 19.8257
_cell_angle_alpha 90.00
_cell_angle_beta 90.00
_cell_angle_gamma 120.00
_symmetry_space_group_name_H-M 'R -3 m'
_symmetry_Int_Tables_number 166
_symmetry_space_group_name_Hall '-R 3 2"'
loop_
_atom_site_label
_atom_site_type_symbol
_atom_site_fract_x
_atom_site_fract_y
_atom_site_fract_z
Na1 Na 0.0000 0.0000 0.0000
Na2 Na 0.0000 0.5000 0.0000
Sc1 Sc 0.0000 0.5000 0.5000
Ge1 Ge 0.0000 0.0000 0.5000
S1 S 0.0000 0.0000 0.2391
S2 S 0.0033 0.5016 0.2375
# Volume (Å³/cell): 976.4
# N(E_F) (states/eV per atom): 0.09
# Formation energy (no corrections) (meV/atom): -1448



# NaGe2SeS6 | Alexandria via LeMat-Bulk | PBE-GGA | optimized geometry
data_NaGe2SeS6
_chemical_formula_sum 'Na4 Ge8 Se4 S24'
_cell_length_a 13.365
_cell_length_b 10.942
_cell_length_c 7.021
_cell_angle_alpha 90.00
_cell_angle_beta 111.02
_cell_angle_gamma 90.00
_symmetry_space_group_name_H-M 'C 1 2/c 1'
_symmetry_Int_Tables_number 15
loop_
_symmetry_equiv_pos_as_xyz
'x,y,z'
'-x,-y,-z'
'-x,y,-z+1/2'
'x,-y,z+1/2'
'x+1/2,y+1/2,z'
'-x+1/2,-y+1/2,-z'
'-x+1/2,y+1/2,-z+1/2'
'x+1/2,-y+1/2,z+1/2'
loop_
_atom_site_label
_atom_site_type_symbol
_atom_site_fract_x
_atom_site_fract_y
_atom_site_fract_z
Na1 Na 0.000 0.116 0.250
Ge1 Ge 0.199 0.413 0.202
Se1 Se 0.000 0.230 0.750
S1 S 0.117 0.092 0.659
S2 S 0.132 0.439 0.462
S3 S 0.142 0.225 0.103
# Volume (Å³/cell): 958.4
# N(E_F) (states/eV per atom): 0.33
# Formation energy (no corrections) (meV/atom): -184